Below is a relaxed structure of SmNiP2Ru, with properties calculated at the GGA-PBE level.

Output
As for the space group: I-4m2 (119). The formation energy comes out at -927.5 meV per atom. The total energy is -35.2 eV per cell. As for the crystal system: tetragonal.

a = 3.9300 Å, b = 3.9300 Å, c = 5.7089 Å
α = 110.13°, β = 110.13°, γ = 90.00°
Closest atoms and distances in Å follow each position.
Atoms (fractional coordinates):
Sm 0.0000 0.0000 0.0000  8 P 3.03, 4 Ni 3.17, 4 Ru 3.17
Ni 0.7500 0.2500 0.5000  4 P 2.35
P 0.6207 0.6207 0.2414  2 Ru 2.35, 2 Ni 2.35, 1 P 2.41
P 0.3793 0.3793 0.7586  2 Ni 2.35, 2 Ru 2.35, 1 P 2.41
Ru 0.2500 0.7500 0.5000  4 P 2.35

---

Below is a relaxed structure of Sm3Ni2P4Ru2, with properties calculated at the GGA-PBE level.

Output
As for the space group: P-3m1 (164). The formation energy comes out at -1086.5 meV per atom. The total energy is -77.9 eV per cell. As for the crystal system: trigonal.

a = 3.9173 Å, b = 3.9173 Å, c = 14.7536 Å
α = 90.00°, β = 90.00°, γ = 120.00°
Closest atoms and distances in Å follow each position.
Atoms (fractional coordinates):
Sm 0.0000 0.0000 0.7275  6 P 2.95-3.04, 3 Ni 2.99
Sm 0.0000 0.0000 0.0000  6 P 3.01, 6 Ni 3.06
Sm 0.0000 0.0000 0.2725  6 P 2.95-3.04, 3 Ni 2.99
Ni 0.6667 0.3333 0.8604  3 P 2.26
Ni 0.3333 0.6667 0.1396  3 P 2.26
P 0.6667 0.3333 0.1351  3 Ni 2.26
P 0.3333 0.6667 0.8649  3 Ni 2.26
P 0.6667 0.3333 0.5989  4 Ru 2.33-2.37
P 0.3333 0.6667 0.4011  4 Ru 2.33-2.37
Ru 0.6667 0.3333 0.4381  4 P 2.33-2.37
Ru 0.3333 0.6667 0.5619  4 P 2.33-2.37

---

Below is a relaxed structure of Sm2Ni4P3Ru, with properties calculated at the GGA-PBE level.

Output
As for the space group: P-4m2 (115). The formation energy comes out at -758.8 meV per atom. The total energy is -65.7 eV per cell. As for the crystal system: tetragonal.

a = 3.9027 Å, b = 3.9027 Å, c = 9.8533 Å
α = 90.00°, β = 90.00°, γ = 90.00°
Closest atoms and distances in Å follow each position.
Atoms (fractional coordinates):
Sm 0.5000 0.0000 0.2448  8 Ni 2.96-3.10, 6 P 3.00-3.18, 2 Ru 3.18
Sm 0.0000 0.5000 0.7552  8 Ni 2.96-3.10, 6 P 3.00-3.18, 2 Ru 3.18
Ni 0.5000 0.5000 0.0000  4 P 2.31
Ni 0.0000 0.0000 0.0000  4 P 2.31
Ni 0.5000 0.0000 0.6468  3 P 2.24-2.43, 2 Ru 2.43
Ni 0.0000 0.5000 0.3532  3 P 2.24-2.43, 2 Ru 2.43
P 0.0000 0.0000 0.5000  4 Ni 2.43
P 0.5000 0.0000 0.8745  5 Ni 2.24-2.31
P 0.0000 0.5000 0.1255  5 Ni 2.24-2.31
Ru 0.5000 0.5000 0.5000  4 Ni 2.43

---

Below is a relaxed structure of NiSnP2Ru, with properties calculated at the GGA-PBE level.

Output
As for the space group: P4/mmm (123). The formation energy comes out at 776.0 meV per atom. The total energy is -26.0 eV per cell. As for the crystal system: tetragonal.

a = 4.3559 Å, b = 5.1641 Å, c = 4.3559 Å
α = 90.00°, β = 90.00°, γ = 90.00°
Closest atoms and distances in Å follow each position.
Atoms (fractional coordinates):
Ru 0.0000 0.0000 0.0000  4 P 2.18
Sn 0.0000 0.5000 0.0000  2 Ru 2.58
P 0.0000 0.0000 0.5000  2 Ru 2.18
P 0.5000 0.0000 0.0000  2 Ru 2.18
Ni 0.5000 0.5000 0.5000  4 Sn 3.08, 8 P 3.38

---

no.,calculated volume (Å³ per cell)
1,77.0
2,196.1
3,150.1
4,98.0